[1]
Ta2FeCl GGA-PBE relaxed; symmetry = I-42d (122); energy above the most stable polymorph in this dataset = 0.8574 eV/atom
1.0
-2.584 2.584 6.179
2.584 -2.584 6.179
2.584 2.584 -6.179
Ta Fe Cl
4 2 2
Cartesian
3.875 1.102 -1.545
1.102 1.292 1.545
-1.292 1.481 4.634
1.481 1.292 7.723
0.000 0.000 0.000
0.000 2.584 3.089
2.584 0.000 3.089
0.000 0.000 6.179

=====

[2]
Ta2FeCl GGA-PBE relaxed; symmetry = Cmm2 (35); energy above the most stable polymorph in this dataset = 0.1307 eV/atom
1.0
1.624 -2.428 0.000
1.624 2.428 0.000
0.000 0.000 8.978
Ta Fe Cl
2 1 1
Cartesian
0.000 0.000 0.000
1.624 0.000 2.369
0.000 0.000 4.266
1.624 0.000 6.996

=====

[3]
TaFe2Cl GGA-PBE relaxed; symmetry = Cmmm (65); energy above the most stable polymorph in this dataset = 0.2030 eV/atom
1.0
1.599 -2.402 0.000
1.599 2.402 0.000
0.000 0.000 8.034
Ta Fe Cl
1 2 1
Cartesian
0.000 0.000 0.000
1.599 0.000 2.060
1.599 0.000 5.974
0.000 0.000 4.017

=====

[4]
TaFe2Cl GGA-PBE relaxed; symmetry = C2/m (12); energy above the most stable polymorph in this dataset = 0.4731 eV/atom
1.0
2.467 -4.295 0.000
2.467 4.295 0.000
-0.025 0.000 2.843
Ta Fe Cl
1 2 1
Cartesian
0.000 0.000 0.000
1.221 2.148 1.421
1.221 -2.148 1.421
2.467 0.000 0.000

=====

[5]
TaVFeCl2 GGA-PBE relaxed; symmetry = P4/mmm (123)
1.0
4.304 0.000 0.000
0.000 4.304 0.000
0.000 0.000 4.860
Ta V Fe Cl
1 1 1 2
Cartesian
0.000 0.000 0.000
2.152 2.152 0.000
0.000 0.000 2.430
0.000 2.152 2.430
2.152 0.000 2.430

=====

[6]
Tb4FeCl5 GGA-PBE relaxed; symmetry = C2/m (12)
1.0
9.225 -1.906 0.000
9.225 1.906 0.000
-0.046 0.000 8.666
Tb Fe Cl
4 1 5
Cartesian
-0.009 0.000 2.048
18.414 0.000 6.618
6.773 0.000 8.654
11.631 0.000 0.012
9.225 0.000 0.000
2.807 0.000 1.983
2.781 0.000 6.710
9.202 0.000 4.333
15.623 0.000 1.956
15.597 0.000 6.683

=====

[7]
TbFeCl GGA-PBE relaxed; symmetry = P1 (1)
1.0
4.003 0.000 0.000
1.613 5.072 0.000
0.752 0.241 5.566
Tb Fe Cl
2 2 2
Cartesian
0.000 0.000 0.000
2.019 2.074 2.540
4.458 3.340 4.556
5.503 5.058 2.901
2.447 2.518 5.395
3.508 4.369 2.913

=====

[8]
Tb2FeCl GGA-PBE relaxed; symmetry = R-3m (166)
1.0
1.868 1.078 7.692
-1.868 1.078 7.692
0.000 -2.156 7.692
Tb Fe Cl
2 1 1
Cartesian
0.000 0.000 5.479
0.000 0.000 17.596
0.000 0.000 11.537
0.000 0.000 0.000

=====

[9]
TbFeCl GGA-PBE relaxed; symmetry = R-3m (166)
1.0
1.919 1.108 11.100
-1.919 1.108 11.100
0.000 -2.216 11.100
Tb Fe Cl
2 2 2
Cartesian
0.000 0.000 2.009
0.000 0.000 31.291
0.000 0.000 11.194
0.000 0.000 22.106
0.000 0.000 7.351
0.000 0.000 25.950

=====

[10]
TbTlFe2Cl8 GGA-PBE relaxed; symmetry = R-3 (148)
1.0
3.243 1.873 9.591
-3.243 1.873 9.591
0.000 -3.745 9.591
Tb Tl Fe Cl
1 1 2 8
Cartesian
0.000 0.000 0.000
0.000 0.000 14.386
0.000 0.000 7.248
0.000 0.000 21.524
-1.050 -1.857 11.167
0.000 0.000 5.029
-2.133 -0.019 17.605
-1.083 1.838 11.167
1.083 -1.838 17.605
2.133 0.019 11.167
0.000 0.000 23.743
1.050 1.857 17.605

=====

[11]
FeTc4Cl GGA-PBE relaxed; symmetry = F-43m (216)
1.0
0.000 3.645 3.645
3.645 0.000 3.645
3.645 3.645 0.000
Fe Tc Cl
1 4 1
Cartesian
0.000 0.000 0.000
4.553 2.738 2.738
2.738 4.553 2.738
2.738 2.738 4.553
4.553 4.553 4.553
1.823 1.823 1.823

=====

[12]
Fe2TcCl GGA-PBE relaxed; symmetry = Cmm2 (35); energy above the most stable polymorph in this dataset = 0.1665 eV/atom
1.0
1.488 -2.355 0.000
1.488 2.355 0.000
0.000 0.000 8.197
Fe Tc Cl
2 1 1
Cartesian
0.000 0.000 0.000
1.488 0.000 1.950
0.000 0.000 3.932
1.488 0.000 6.286

=====

[13]
Fe2TcCl GGA-PBE relaxed; symmetry = P4/mmm (123); energy above the most stable polymorph in this dataset = 0.4984 eV/atom
1.0
4.553 0.000 0.000
0.000 4.553 0.000
0.000 0.000 2.749
Fe Tc Cl
2 1 1
Cartesian
0.000 2.277 0.000
2.277 0.000 0.000
0.000 0.000 1.374
2.277 2.277 1.374

=====

[14]
Fe3TcCl GGA-PBE relaxed; symmetry = Pm-3m (221); energy above the most stable polymorph in this dataset = 0.2256 eV/atom
1.0
4.643 0.000 0.000
0.000 4.643 0.000
0.000 0.000 4.643
Fe Tc Cl
3 1 1
Cartesian
0.000 0.000 2.321
0.000 2.321 0.000
2.321 0.000 0.000
0.000 0.000 0.000
2.321 2.321 2.321

=====

[15]
Fe2TcCl GGA-PBE relaxed; symmetry = R-3m (166); energy above the most stable polymorph in this dataset = 0.0490 eV/atom
1.0
1.415 0.817 7.975
-1.415 0.817 7.975
0.000 -1.634 7.975
Fe Tc Cl
2 1 1
Cartesian
0.000 0.000 5.936
0.000 0.000 17.988
0.000 0.000 0.000
0.000 0.000 11.962

=====

| no. | raw formation energy (eV/atom) | M_tot (μB/f.u.) |
| --- | --- | --- |
| 1 | 0.853 | 0.0 |
| 2 | 0.126 | 1.9 |
| 3 | 0.224 | 5.2 |
| 4 | 0.494 | 5.1 |
| 5 | 1.143 | 0.0 |
| 6 | -1.493 | 0.3 |
| 7 | -0.191 | 0.1 |
| 8 | -0.608 | 0.8 |
| 9 | -1.099 | 0.8 |
| 10 | -1.232 | 8.0 |
| 11 | 0.992 | 3.0 |
| 12 | 0.434 | 5.7 |
| 13 | 0.766 | 4.9 |
| 14 | 1.457 | 8.4 |
| 15 | 0.317 | 4.9 |